Compound: CsSr2Zn2
Source: Alexandria
Functional: PBE
Structure: relaxed

Computed properties:
energy	-6.018	eV/f.u.
SG	I4/mmm (139)
ΔH_f (0 K)	0.1495	eV per atom
calculated volume	48.3	A^3/atom
crystal system	tetragonal

The structure in extended XYZ format:
```
5
Lattice="-4.124 -0.670 4.440 -4.432 -0.362 -4.171 -3.509 -6.960 -0.124" Properties=species:S:1:pos:R:3 pbc="T T T"
Sr -8.041 -5.349 0.096
Sr -4.024 -2.643 0.049
Zn -6.109 -3.919 -2.080
Zn -5.955 -4.073 2.226
Cs 0.000 0.000 0.000
```